Entry 1:
Entry from Alexandria: a geometry-optimized Y3ZnC structure (PBE-GGA).

a b c (Å): 4.896 4.896 4.896
angles (deg): 90.00 90.00 90.00
Fractional positions:
Y1 0.000 0.500 0.000
Y2 0.500 0.000 0.000
Y3 0.000 0.000 0.500
Zn1 0.500 0.500 0.500
C1 0.000 0.000 0.000

Calculated values
Calculated volume   23.5 Å³ per atom
Energy relative to the lowest polymorph listed for this composition   49 meV/atom
Final energy   -31.165 eV/f.u.
Formation energy from the elements   -0.255 eV per atom
Magnetic moment   0.21 μB per atom



Entry 2:
Entry from Alexandria: a geometry-optimized CaLaEr4Se8 structure (PBE-GGA).

a b c (Å): 8.408 8.408 8.549
angles (deg): 60.54 60.54 60.00
Fractional positions:
Se1 0.778 0.249 0.725
Se2 0.749 0.232 0.271
Se3 0.239 0.239 0.282
Se4 0.749 0.749 0.271
Se5 0.232 0.749 0.271
Se6 0.249 0.778 0.725
Se7 0.758 0.758 0.725
Se8 0.249 0.249 0.725
Er1 0.494 0.002 0.502
Er2 0.002 0.002 0.502
Er3 0.626 0.626 0.121
Er4 0.002 0.494 0.502
Ca1 0.373 0.373 0.881
La1 0.002 0.002 0.995

Calculated values
Calculated volume   30.8 Å³ per atom
Final energy   -78.285 eV/f.u.
Magnetic moment   0.00 μB per atom
Formation energy (no corrections)   -25.23 eV per formula unit



Entry 3:
Entry from Alexandria: a geometry-optimized Cu3SeI structure (PBE-GGA).

a b c (Å): 4.084 7.001 8.180
angles (deg): 115.34 90.00 90.00
Fractional positions:
Cu1 0.250 0.565 0.401
Cu2 0.750 0.164 0.599
Cu3 0.750 0.790 0.603
Cu4 0.250 0.629 0.910
Cu5 0.750 0.719 0.090
Cu6 0.250 0.187 0.397
I1 0.250 0.062 0.769
I2 0.750 0.292 0.231
Se1 0.750 0.546 0.740
Se2 0.250 0.805 0.260

Calculated values
Calculated volume   21.1 Å³ per atom
Energy relative to the lowest polymorph listed for this composition   158 meV/atom
Final energy   -17.021 eV/f.u.
Magnetic moment   0.00 μB per atom
Formation energy (no corrections)   0.30 eV per formula unit



Entry 4:
Entry from Alexandria: a geometry-optimized Tl2CdInHg6 structure (PBE-GGA).

a b c (Å): 7.828 7.539 9.069
angles (deg): 44.42 69.73 97.24
Fractional positions:
Hg1 0.444 0.361 0.433
Hg2 0.046 0.240 0.158
Hg3 0.292 0.761 0.103
Hg4 0.708 0.239 0.897
Hg5 0.556 0.639 0.567
Hg6 0.954 0.760 0.842
Tl1 0.790 0.227 0.531
Tl2 0.210 0.773 0.469
In1 0.000 0.000 0.000
Cd1 0.500 0.500 0.000

Calculated values
Calculated volume   28.9 Å³ per atom
Final energy   -9.986 eV/f.u.
Formation energy from the elements   0.021 eV per atom
Magnetic moment   0.00 μB per atom



Entry 5:
Entry from Alexandria: a geometry-optimized Na3Ga2S4 structure (PBE-GGA).

a b c (Å): 7.231 7.813 7.813
angles (deg): 74.44 89.88 89.88
Fractional positions:
Na1 0.750 0.401 0.599
Na2 0.038 0.993 0.249
Na3 0.462 0.751 0.007
Na4 0.250 0.599 0.401
Na5 0.538 0.249 0.993
Na6 0.962 0.007 0.751
Ga1 0.403 0.185 0.430
Ga2 0.097 0.570 0.815
Ga3 0.903 0.430 0.185
Ga4 0.597 0.815 0.570
S1 0.422 0.569 0.732
S2 0.078 0.268 0.431
S3 0.578 0.431 0.268
S4 0.922 0.732 0.569
S5 0.057 0.710 0.051
S6 0.557 0.051 0.710
S7 0.443 0.949 0.290
S8 0.943 0.290 0.949

Calculated values
Calculated volume   23.6 Å³ per atom
Energy relative to the lowest polymorph listed for this composition   0 meV/atom
Final energy   -34.146 eV/f.u.
Magnetic moment   0.00 μB per atom
Formation energy (no corrections)   -7.63 eV per formula unit



Entry 6:
Entry from Alexandria: a geometry-optimized Nd3Cd4Hg2 structure (PBE-GGA).

a b c (Å): 4.224 8.049 8.049
angles (deg): 120.00 90.00 90.00
Fractional positions:
Hg1 0.000 0.667 0.333
Hg2 0.000 0.333 0.667
Cd1 0.000 0.000 0.744
Cd2 0.500 0.000 0.000
Cd3 0.000 0.256 0.256
Cd4 0.000 0.744 0.000
Nd1 0.500 0.589 0.589
Nd2 0.500 0.411 0.000
Nd3 0.500 0.000 0.411

Calculated values
Calculated volume   26.3 Å³ per atom
Energy relative to the lowest polymorph listed for this composition   0 meV/atom
Final energy   -22.136 eV/f.u.
Formation energy from the elements   -0.397 eV per atom
Magnetic moment   0.00 μB per atom



Entry 7:
Entry from Alexandria: a geometry-optimized Mn2HPd6 structure (PBE-GGA).

a b c (Å): 5.593 5.593 5.593
angles (deg): 60.00 60.00 60.00
Fractional positions:
H1 0.500 0.500 0.500
Pd1 0.752 0.248 0.752
Pd2 0.248 0.248 0.751
Pd3 0.752 0.752 0.249
Pd4 0.248 0.752 0.248
Pd5 0.248 0.752 0.752
Pd6 0.752 0.248 0.248
Mn1 0.750 0.750 0.750
Mn2 0.250 0.250 0.250

Calculated values
Calculated volume   13.7 Å³ per atom
Final energy   -54.819 eV/f.u.
Magnetic moment   0.99 μB per atom



Entry 8:
Entry from Alexandria: a geometry-optimized Tc2PRu structure (PBE-GGA).

a b c (Å): 4.806 4.806 4.320
angles (deg): 88.14 88.14 34.54
Fractional positions:
P1 0.500 0.500 0.000
Tc1 0.274 0.274 0.744
Tc2 0.726 0.726 0.256
Ru1 0.000 0.000 0.500

Calculated values
Calculated volume   14.1 Å³ per atom
Final energy   -35.366 eV/f.u.
Formation energy from the elements   0.013 eV per atom
Magnetic moment   0.00 μB per atom



Entry 9:
Entry from Alexandria: a geometry-optimized TlFeSi2 structure (PBE-GGA).

a b c (Å): 3.838 4.247 4.247
angles (deg): 90.00 90.00 90.00
Fractional positions:
Si1 0.000 0.500 0.500
Si2 0.000 0.000 0.000
Tl1 0.500 0.500 0.000
Fe1 0.500 0.000 0.500

Calculated values
Calculated volume   17.3 Å³ per atom
Energy relative to the lowest polymorph listed for this composition   635 meV/atom
Final energy   -18.604 eV/f.u.
Magnetic moment   0.65 μB per atom
Formation energy (no corrections)   3.07 eV per formula unit



Entry 10:
Entry from Alexandria: a geometry-optimized CsRb3Tl3 structure (PBE-GGA).

a b c (Å): 9.367 9.367 11.715
angles (deg): 66.44 66.44 60.00
Fractional positions:
Rb1 0.102 0.598 0.197
Rb2 0.102 0.102 0.197
Rb3 0.598 0.102 0.197
Rb4 0.402 0.898 0.803
Rb5 0.898 0.898 0.803
Rb6 0.898 0.402 0.803
Cs1 0.430 0.430 0.710
Cs2 0.570 0.570 0.290
Tl1 0.067 0.717 0.499
Tl2 0.283 0.283 0.501
Tl3 0.717 0.717 0.499
Tl4 0.717 0.067 0.499
Tl5 0.933 0.283 0.501
Tl6 0.283 0.933 0.501

Calculated values
Calculated volume   56.4 Å³ per atom
Final energy   -11.173 eV/f.u.
Formation energy from the elements   -0.045 eV per atom
Magnetic moment   0.00 μB per atom



Entry 11:
Entry from Alexandria: a geometry-optimized CsSn3O structure (PBE-GGA).

a b c (Å): 5.184 5.184 5.184
angles (deg): 90.00 90.00 90.00
Fractional positions:
Cs1 0.500 0.500 0.500
O1 0.000 0.000 0.000
Sn1 0.500 0.000 0.000
Sn2 0.000 0.500 0.000
Sn3 0.000 0.000 0.500

Calculated values
Calculated volume   27.9 Å³ per atom
Energy relative to the lowest polymorph listed for this composition   0 meV/atom
Final energy   -18.105 eV/f.u.
Magnetic moment   0.00 μB per atom
Formation energy (no corrections)   -0.29 eV per formula unit



Entry 12:
Entry from Alexandria: a geometry-optimized Na2PuGa2O6 structure (PBE-GGA).

a b c (Å): 5.412 5.412 5.748
angles (deg): 90.00 90.00 120.00
Fractional positions:
O1 0.362 0.362 0.808
O2 0.000 0.638 0.808
O3 0.000 0.362 0.192
O4 0.638 0.638 0.192
O5 0.362 0.000 0.192
O6 0.638 0.000 0.808
Ga1 0.333 0.667 0.000
Ga2 0.667 0.333 0.000
Na1 0.667 0.333 0.500
Na2 0.333 0.667 0.500
Pu1 0.000 0.000 0.000

Calculated values
Calculated volume   13.3 Å³ per atom
Final energy   -75.207 eV/f.u.
Magnetic moment   0.36 μB per atom
Formation energy (no corrections)   -22.43 eV per formula unit



Entry 13:
Entry from Alexandria: a geometry-optimized Tm2MgSn structure (PBE-GGA).

a b c (Å): 4.412 4.794 4.794
angles (deg): 90.00 90.00 90.00
Fractional positions:
Sn1 0.500 0.000 0.000
Tm1 0.000 0.000 0.500
Tm2 0.000 0.500 0.000
Mg1 0.500 0.500 0.500

Calculated values
Calculated volume   25.3 Å³ per atom
Final energy   -16.171 eV/f.u.
Formation energy from the elements   -0.408 eV per atom
Magnetic moment   0.00 μB per atom



Entry 14:
Entry from Alexandria: a geometry-optimized Na3La2USe6 structure (PBE-GGA).

a b c (Å): 7.489 7.489 7.414
angles (deg): 99.70 99.70 120.01
Fractional positions:
Se1 0.754 0.754 0.235
Se2 0.597 0.921 0.763
Se3 0.079 0.403 0.237
Se4 0.921 0.597 0.763
Se5 0.246 0.246 0.765
Se6 0.403 0.079 0.237
La1 0.333 0.667 0.000
La2 0.667 0.333 0.000
Na1 0.500 0.500 0.500
Na2 0.833 0.167 0.500
Na3 0.167 0.833 0.500
U1 0.000 0.000 0.000

Calculated values
Calculated volume   28.2 Å³ per atom
Final energy   -64.517 eV/f.u.
Magnetic moment   0.25 μB per atom
Formation energy (no corrections)   -18.51 eV per formula unit



Entry 15:
Entry from Alexandria: a geometry-optimized Zr2ZnAgH structure (PBE-GGA).

a b c (Å): 4.341 4.341 4.217
angles (deg): 90.00 90.00 90.00
Fractional positions:
H1 0.000 0.000 0.000
Zn1 0.000 0.000 0.500
Zr1 0.500 0.000 0.000
Zr2 0.000 0.500 0.000
Ag1 0.500 0.500 0.500

Calculated values
Calculated volume   15.9 Å³ per atom
Energy relative to the lowest polymorph listed for this composition   31 meV/atom
Final energy   -25.303 eV/f.u.
Magnetic moment   0.00 μB per atom



Entry 16:
Entry from Alexandria: a geometry-optimized SnB3F structure (PBE-GGA).

a b c (Å): 4.575 4.575 4.575
angles (deg): 90.00 90.00 90.00
Fractional positions:
B1 0.000 0.500 0.000
B2 0.000 0.000 0.500
B3 0.500 0.000 0.000
Sn1 0.000 0.000 0.000
F1 0.500 0.500 0.500

Calculated values
Calculated volume   19.2 Å³ per atom
Energy relative to the lowest polymorph listed for this composition   273 meV/atom
Final energy   -16.146 eV/f.u.
Magnetic moment   0.00 μB per atom
Formation energy (no corrections)   9.76 eV per formula unit



Entry 17:
Entry from Alexandria: a geometry-optimized Pm8Tl3Ge2 structure (PBE-GGA).

a b c (Å): 5.529 9.057 9.117
angles (deg): 119.78 90.01 90.00
Fractional positions:
Ge1 0.500 0.771 0.542
Ge2 0.500 0.229 0.458
Pm1 0.000 0.891 0.781
Pm2 0.500 0.590 0.745
Pm3 0.500 0.846 0.255
Pm4 0.000 0.310 0.619
Pm5 0.500 0.154 0.745
Pm6 0.000 0.690 0.381
Pm7 0.000 0.109 0.219
Pm8 0.500 0.410 0.255
Tl1 0.000 0.678 0.000
Tl2 0.500 0.000 0.000
Tl3 0.000 0.322 0.000

Calculated values
Calculated volume   30.5 Å³ per atom
Final energy   -58.511 eV/f.u.
Formation energy from the elements   -0.321 eV per atom
Magnetic moment   0.00 μB per atom